PBE CdOsW2, relaxed; crystal system = tetragonal
1.0
4.1622 0.0000 0.0000
0.0000 3.9562 0.0000
0.0000 0.0000 3.9562
W Cd Os
2 1 1
Direct
0.0000 0.5000 0.5000
0.0000 0.0000 0.0000
0.5000 0.5000 0.0000
0.5000 0.0000 0.5000

PBE Cd2OsW, relaxed; crystal system = tetragonal
1.0
3.0088 0.0000 0.0000
0.0000 3.0088 0.0000
0.0000 0.0000 8.1011
Cd Os W
2 1 1
Direct
0.5000 0.5000 0.2730
0.0000 0.0000 0.9818
0.0000 0.0000 0.5322
0.5000 0.5000 0.7130

PBE CdOsW2, relaxed; crystal system = orthorhombic
1.0
-2.5223 -3.9590 -2.9645
1.5587 -0.8956 -5.2528
1.3001 0.0843 5.3969
W Os Cd
2 1 1
Direct
0.7735 0.2735 0.5000
0.0079 0.0079 0.0000
0.2267 0.7267 0.5000
0.4919 0.4919 0.0000

PBE CdOsW2, relaxed; crystal system = tetragonal
1.0
-0.2827 -1.3449 -2.8200
2.9041 0.9310 -0.7351
2.5490 -5.9224 2.5690
W Os Cd
2 1 1
Direct
0.0000 0.0000 0.9894
0.5000 0.5000 0.2202
0.5000 0.5000 0.7845
0.0000 0.0000 0.5058

PBE Cd2OsW, relaxed; crystal system = orthorhombic
1.0
-2.6047 1.1573 4.8281
-4.8648 -2.5973 1.0110
5.5075 -0.4608 -0.9430
Cd W Os
2 1 1
Direct
0.0103 0.0103 0.0000
0.7362 0.2362 0.5000
0.2775 0.7775 0.5000
0.4759 0.4759 0.0000

PBE CdOs2W, relaxed; crystal system = trigonal
1.0
9.5062 0.0203 0.0119
9.0821 2.8076 0.0119
9.0821 1.3817 2.4441
Os Cd W
2 1 1
Direct
0.5063 0.5063 0.5063
0.9937 0.9937 0.9937
0.7500 0.7500 0.7500
0.2500 0.2500 0.2500

PBE CdOs2W, relaxed; crystal system = orthorhombic
1.0
5.3620 0.0023 0.0062
2.5596 4.7116 -0.0062
-3.4556 -3.2060 2.5557
Os Cd W
2 1 1
Direct
0.9918 0.9918 0.0000
0.7433 0.2433 0.5000
0.2506 0.7506 0.5000
0.5144 0.5144 0.0000

PBE CdOsW2, relaxed; crystal system = monoclinic
1.0
-3.5121 -2.0782 -3.1711
-3.5299 -3.7172 -0.6573
-4.1359 1.8514 1.1778
W Os Cd
2 1 1
Direct
0.9854 0.9854 0.0209
0.5146 0.5146 0.4791
0.2500 0.2500 0.2500
0.7500 0.7500 0.7500

| no. | final energy (eV per cell) | DFT formation energy (eV per atom) | ρ (g/cm3) |
| --- | --- | --- | --- |
| 1 | -35.6 | 0.615 | 17.086 |
| 2 | -25.0 | 0.249 | 13.560 |
| 3 | -35.8 | 0.555 | 16.472 |
| 4 | -36.0 | 0.515 | 16.297 |
| 5 | -23.4 | 0.644 | 13.543 |
| 6 | -35.2 | 0.274 | 17.429 |
| 7 | -33.8 | 0.625 | 17.423 |
| 8 | -35.9 | 0.532 | 16.792 |